# HfPaSi2

An optimized crystal structure of HfPaSi2 (PBE, the Alexandria database).

For the relative energy among the computed polymorphs, the calculation gives 62 meV/atom. The value obtained for the formation energy from raw total energies is -0.49 eV per atom. The magnetic moment is 0.0 μB/f.u. For the density, the calculation gives 8.979 g/cm3.

The space group is R-3m (No. 166, hexagonal axes) and the conventional cell measures 3.9632, 3.9632 and 18.9951 Å, with angles of 90.00, 90.00 and 120.00 degrees. The distinct sites, in fractional coordinates, are Hf at (0.0000, 0.0000, 0.0000), Pa at (0.0000, 0.0000, 0.5000) and Si at (0.0000, 0.0000, 0.2563).



# HfPaSi2

An optimized crystal structure of HfPaSi2 (PBE, the Alexandria database).

For the relative energy among the computed polymorphs, the calculation gives 0 meV/atom. The value obtained for the formation energy from raw total energies is -0.55 eV per atom. The magnetic moment is 0.0 μB/f.u. For the density, the calculation gives 9.857 g/cm3.

The space group is Amm2 (No. 38) and the conventional cell measures 3.9055, 3.9615 and 10.1419 Å, with angles of 90.00, 90.00 and 90.00 degrees. The distinct sites, in fractional coordinates, are Hf at (0.0000, 0.0000, 0.0000), Pa at (0.5000, 0.0000, 0.2854), Si at (0.0000, 0.0000, 0.7233) and Si at (0.5000, 0.0000, 0.5668).



# HfPaSi

An optimized crystal structure of HfPaSi (PBE, the Alexandria database).

For the relative energy among the computed polymorphs, the calculation gives 0 meV/atom. The value obtained for the formation energy from raw total energies is -0.21 eV per atom. The magnetic moment is 0.0 μB/f.u. For the density, the calculation gives 11.431 g/cm3.

The space group is I4mm (No. 107) and the conventional cell measures 3.5418, 3.5418 and 10.1356 Å, with angles of 90.00, 90.00 and 90.00 degrees. The distinct sites, in fractional coordinates, are Hf at (0.0000, 0.0000, 0.0000), Pa at (0.0000, 0.0000, 0.7100) and Si at (0.0000, 0.0000, 0.3888).



# Hf2PaSi

An optimized crystal structure of Hf2PaSi (PBE, the Alexandria database).

For the relative energy among the computed polymorphs, the calculation gives 191 meV/atom. The value obtained for the formation energy from raw total energies is -0.03 eV per atom. The magnetic moment is 0.0 μB/f.u. For the density, the calculation gives 11.903 g/cm3.

The space group is R-3m (No. 166, hexagonal axes) and the conventional cell measures 3.2445, 3.2445 and 28.2836 Å, with angles of 90.00, 90.00 and 120.00 degrees. The distinct sites, in fractional coordinates, are Hf at (0.0000, 0.0000, 0.2395), Pa at (0.0000, 0.0000, 0.0000) and Si at (0.0000, 0.0000, 0.5000).



# HfPaSi

An optimized crystal structure of HfPaSi (PBE, the Alexandria database).

For the relative energy among the computed polymorphs, the calculation gives 221 meV/atom. The value obtained for the formation energy from raw total energies is 0.01 eV per atom. The magnetic moment is 0.0 μB/f.u. For the density, the calculation gives 10.863 g/cm3.

The space group is R-3m (No. 166, hexagonal axes) and the conventional cell measures 3.9467, 3.9467 and 29.7528 Å, with angles of 90.00, 90.00 and 120.00 degrees. The distinct sites, in fractional coordinates, are Hf at (0.0000, 0.0000, 0.1294), Pa at (0.0000, 0.0000, 0.3053) and Si at (0.0000, 0.0000, 0.4176).



# HfPa2Si2

An optimized crystal structure of HfPa2Si2 (PBE, the Alexandria database).

The value obtained for the formation energy from raw total energies is -0.53 eV per atom. The magnetic moment is 0.0 μB/f.u. For the density, the calculation gives 10.960 g/cm3.

The space group is P4/mbm (No. 127) and the conventional cell measures 7.0572, 7.0572 and 4.2391 Å, with angles of 90.00, 90.00 and 90.00 degrees. The distinct sites, in fractional coordinates, are Hf at (0.0000, 0.0000, 0.0000), Pa at (0.1803, 0.3197, 0.5000) and Si at (0.1217, 0.6217, 0.0000).



# Hf2PaSi

An optimized crystal structure of Hf2PaSi (PBE, the Alexandria database).

For the relative energy among the computed polymorphs, the calculation gives 0 meV/atom. The value obtained for the formation energy from raw total energies is -0.22 eV per atom. The magnetic moment is 0.0 μB/f.u. For the density, the calculation gives 12.559 g/cm3.

The space group is P4/mmm (No. 123) and the conventional cell measures 4.4702, 4.4702 and 4.0764 Å, with angles of 90.00, 90.00 and 90.00 degrees. The distinct sites, in fractional coordinates, are Hf at (0.0000, 0.5000, 0.0000), Pa at (0.0000, 0.0000, 0.5000) and Si at (0.5000, 0.5000, 0.5000).



# HfPaSi

An optimized crystal structure of HfPaSi (PBE, the Alexandria database).

For the relative energy among the computed polymorphs, the calculation gives 134 meV/atom. The value obtained for the formation energy from raw total energies is -0.08 eV per atom. The magnetic moment is 0.0 μB/f.u. For the density, the calculation gives 11.320 g/cm3.

The space group is P-6m2 (No. 187) and the conventional cell measures 4.7425, 4.7425 and 3.2958 Å, with angles of 90.00, 90.00 and 120.00 degrees. The distinct sites, in fractional coordinates, are Hf at (0.0000, 0.0000, 0.0000), Pa at (0.6667, 0.3333, 0.5000) and Si at (0.3333, 0.6667, 0.0000).



# SmHfPa

An optimized crystal structure of SmHfPa (PBE, the Alexandria database).

The magnetic moment is 0.0 μB/f.u. For the density, the calculation gives 11.702 g/cm3. The value obtained for the calculated formation energy is 0.206 eV per atom.

The space group is I4mm (No. 107) and the conventional cell measures 3.2303, 3.2303 and 15.2280 Å, with angles of 90.00, 90.00 and 90.00 degrees. The distinct sites, in fractional coordinates, are Sm at (0.0000, 0.0000, 0.0000), Hf at (0.0000, 0.0000, 0.6722) and Pa at (0.0000, 0.0000, 0.3229).



# HfPaSn2

An optimized crystal structure of HfPaSn2 (PBE, the Alexandria database).

For the relative energy among the computed polymorphs, the calculation gives 29 meV/atom. The magnetic moment is 0.0 μB/f.u. For the density, the calculation gives 11.202 g/cm3. The value obtained for the calculated formation energy is -0.157 eV per atom.

The space group is R-3m (No. 166, hexagonal axes) and the conventional cell measures 3.2755, 3.2755 and 30.9654 Å, with angles of 90.00, 90.00 and 120.00 degrees. The distinct sites, in fractional coordinates, are Hf at (0.0000, 0.0000, 0.0000), Pa at (0.0000, 0.0000, 0.5000) and Sn at (0.0000, 0.0000, 0.2546).



# HfPa6Sn10

An optimized crystal structure of HfPa6Sn10 (PBE, the Alexandria database).

The magnetic moment is 0.0 μB/f.u. For the density, the calculation gives 10.266 g/cm3. The value obtained for the calculated formation energy is -0.237 eV per atom.

The space group is P-31m (No. 162) and the conventional cell measures 9.1756, 9.1756 and 6.1044 Å, with angles of 90.00, 90.00 and 120.00 degrees. The distinct sites, in fractional coordinates, are Hf at (0.0000, 0.0000, 0.0000), Pa at (0.0000, 0.3875, 0.2437), Sn at (0.0000, 0.2583, 0.7264), Sn at (0.3333, 0.6667, 0.0000) and Sn at (0.3333, 0.6667, 0.5000).



# HfPa3Sn5

An optimized crystal structure of HfPa3Sn5 (PBE, the Alexandria database).

The magnetic moment is 0.3 μB/f.u. For the density, the calculation gives 10.680 g/cm3. The value obtained for the calculated formation energy is -0.322 eV per atom.

The space group is P6_3/mcm (No. 193) and the conventional cell measures 9.2239, 9.2239 and 6.1831 Å, with angles of 90.00, 90.00 and 120.00 degrees. The distinct sites, in fractional coordinates, are Hf at (0.0000, 0.0000, 0.0000), Pa at (0.0000, 0.3834, 0.2500), Sn at (0.0000, 0.2735, 0.7500) and Sn at (0.3333, 0.6667, 0.0000).



# Hf6PaSn3

An optimized crystal structure of Hf6PaSn3 (PBE, the Alexandria database).

The magnetic moment is 0.5 μB/f.u. For the density, the calculation gives 11.470 g/cm3. The value obtained for the calculated formation energy is -0.051 eV per atom.

The space group is Cmc2_1 (No. 36) and the conventional cell measures 10.6600, 11.4614 and 7.8586 Å, with angles of 90.00, 90.00 and 90.00 degrees. The distinct sites, in fractional coordinates, are Hf at (0.0000, 0.0750, 0.0000), Hf at (0.0000, 0.2139, 0.4600), Hf at (0.1481, 0.4261, 0.5201), Hf at (0.2366, 0.1798, 0.6778), Pa at (0.0000, 0.3278, 0.8357), Sn at (0.0000, 0.3983, 0.2083) and Sn at (0.1903, 0.0740, 0.3100).